#A
Compound: CdSbW2
Source: Alexandria
Functional: GGA-PBEsol
Structure: relaxed

Unit cell a=3.225 b=3.225 c=6.789 alpha=90.00 beta=90.00 gamma=90.00
Element x y z (fractional)
Cd 0.000 0.000 0.000
Sb 0.000 0.000 0.500
W 0.500 0.500 0.270
W 0.500 0.500 0.730

Results
calculated density	14.1	Mg/m³
SG	P4/mmm, No. 123
DOS at the Fermi energy	4.47	states/eV/cell
magnetization	0.0	μB per cell

#B
Compound: CdSbW2
Source: Alexandria
Functional: GGA-PBEsol
Structure: relaxed

Unit cell a=5.112 b=5.112 c=2.924 alpha=90.00 beta=90.00 gamma=111.78
Element x y z (fractional)
Cd 0.000 0.000 0.000
Sb 0.500 0.500 0.000
W 0.000 0.500 0.500
W 0.500 0.000 0.500

Results
calculated density	14.1	Mg/m³
SG	Cmmm, No. 65
DOS at the Fermi energy	4.51	states/eV/cell
magnetization	0.0	μB per cell

#C
Compound: CdSbW2
Source: Alexandria
Functional: GGA-PBEsol
Structure: relaxed

Unit cell a=5.417 b=5.417 c=5.417 alpha=144.51 beta=128.27 gamma=64.30
Element x y z (fractional)
Cd 0.000 0.000 0.000
Sb 0.500 0.500 0.000
W 0.260 0.760 0.500
W 0.740 0.240 0.500

Results
calculated density	14.0	Mg/m³
SG	Immm, No. 71
DOS at the Fermi energy	2.96	states/eV/cell
magnetization	0.0	μB per cell

Which one is most stable, and which one is least stable? #C is the most stable of them, while #B is the least stable.

#A
Compound: ZnCd2Sb
Source: Alexandria
Functional: GGA-PBEsol
Structure: relaxed

Unit cell a=4.980 b=4.980 c=4.980 alpha=60.00 beta=60.00 gamma=60.00
Element x y z (fractional)
Zn 0.000 0.000 0.000
Cd 0.250 0.250 0.250
Cd 0.500 0.500 0.500
Sb 0.750 0.750 0.750

Results
calculated density	7.8	Mg/m³
SG	F-43m, No. 216
DOS at the Fermi energy	1.91	states/eV/cell
magnetization	0.0	μB per cell

#B
Compound: ZnCd2Sb
Source: Alexandria
Functional: GGA-PBEsol
Structure: relaxed

Unit cell a=6.163 b=6.163 c=3.352 alpha=105.15 beta=105.15 gamma=124.48
Element x y z (fractional)
Zn 0.000 0.000 0.000
Cd 0.000 0.500 0.000
Cd 0.500 0.000 0.000
Sb 0.500 0.500 0.000

Results
calculated density	7.9	Mg/m³
SG	C2/m, No. 12
DOS at the Fermi energy	1.59	states/eV/cell
magnetization	0.0	μB per cell

Which one is most stable, and which one is least stable? #B is the most stable of them, while #A is the least stable.